Below is crystalline Tc2HgPBr at its relaxed geometry, with properties calculated at the PBE level.

Cell and atoms, written as POSCAR:
```
Tc2HgPBr
1.0
-0.435 -2.686 3.696
5.589 -0.684 0.161
0.372 3.680 2.718
P Hg Br Tc
1 1 1 2
Direct
0.500 0.500 0.500
0.000 0.500 0.000
0.000 0.000 0.000
0.000 0.000 0.500
0.500 0.000 0.000
```

total magnetization	2.89	μB/cell
symmetry	No. 123
uncorrected energy	-3.7488	eV/atom
D(E_F)	6.2	states/eV per cell
ΔE_f (raw)	1875	meV/atom